NaLuPb: relaxed, GGA-PBE.

a b c (Å): 7.006 7.006 7.006
angles (deg): 90.00 90.00 90.00
Space group F-43m (No. 216)
Asymmetric unit:
Na: 0.000 0.000 0.000 [4 per cell]
Lu: 0.250 0.250 0.750 [4 per cell]
Pb: 0.250 0.250 0.250 [4 per cell]

- calculated total energy (eV per atom) = -2.970

***

ErGaTe: relaxed, GGA-PBE.

a b c (Å): 7.076 7.076 7.076
angles (deg): 90.00 90.00 90.00
Space group F-43m (No. 216)
Asymmetric unit:
Er: 0.000 0.000 0.000 [4 per cell]
Ga: 0.000 0.000 0.500 [4 per cell]
Te: 0.250 0.250 0.250 [4 per cell]

- calculated total energy (eV per atom) = -3.900

***

UN2: relaxed, GGA-PBE.

a b c (Å): 9.393 9.393 9.393
angles (deg): 90.00 90.00 90.00
Space group Fd-3m (No. 227, origin choice 2)
Asymmetric unit:
U: 0.125 0.125 0.125 [8 per cell]
N: 0.000 0.000 0.000 [16 per cell]

- calculated total energy (eV per atom) = -9.736

***

HfRePO: relaxed, GGA-PBE.

a b c (Å): 4.223 4.510 5.881
angles (deg): 90.00 90.00 90.00
Space group Pmc2_1 (No. 26)
Asymmetric unit:
Hf: 0.000 0.195 0.000 [2 per cell]
Re: 0.500 0.367 0.342 [2 per cell]
P: 0.500 0.131 0.697 [2 per cell]
O: 0.000 0.421 0.307 [2 per cell]

- calculated total energy (eV per atom) = -9.303

***

TlCdCoPt: relaxed, GGA-PBE.

a b c (Å): 6.528 6.528 6.528
angles (deg): 90.00 90.00 90.00
Space group F-43m (No. 216)
Asymmetric unit:
Tl: 0.000 0.000 0.000 [4 per cell]
Cd: 0.000 0.000 0.500 [4 per cell]
Co: 0.250 0.250 0.250 [4 per cell]
Pt: 0.250 0.250 0.750 [4 per cell]

- calculated total energy (eV per atom) = -3.909

***

LiErSnPt: relaxed, GGA-PBE.

a b c (Å): 6.693 6.693 6.693
angles (deg): 90.00 90.00 90.00
Space group F-43m (No. 216)
Asymmetric unit:
Li: 0.000 0.000 0.000 [4 per cell]
Er: 0.250 0.250 0.250 [4 per cell]
Sn: 0.250 0.250 0.750 [4 per cell]
Pt: 0.000 0.000 0.500 [4 per cell]

- calculated total energy (eV per atom) = -5.060